VASP calculation (GGA-PBE) on an optimized crystal structure of K2Zn4Au5.

CIF file:
```
data_K2Zn4Au5
_space_group_name_H-M_alt 'C 1 2/m 1'
_space_group_IT_number 12
_space_group_name_Hall '-C 2y'
_cell_length_a 13.1133
_cell_length_b 5.8214
_cell_length_c 8.7777
_cell_angle_alpha 90.00
_cell_angle_beta 130.00
_cell_angle_gamma 90.00
loop_
_atom_site_label
_atom_site_type_symbol
_atom_site_fract_x
_atom_site_fract_y
_atom_site_fract_z
K1 K 0.2064 0.0000 0.2686
Zn1 Zn 0.1229 0.0000 0.5704
Zn2 Zn 0.2293 0.5000 0.0600
Au1 Au 0.0000 0.5000 0.0000
Au2 Au 0.0435 0.2531 0.7527
```

Summary:
formation energy from the elements	-0.160	eV/atom
relative energy among the computed polymorphs	70	meV/atom

VASP calculation (GGA-PBE) on an optimized crystal structure of Ce2AgSn4Pd3.

CIF file:
```
data_Ce2AgSn4Pd3
_space_group_name_H-M_alt 'P -4 m 2'
_space_group_IT_number 115
_space_group_name_Hall 'P -4 -2'
_cell_length_a 4.5869
_cell_length_b 4.5869
_cell_length_c 10.9426
_cell_angle_alpha 90.00
_cell_angle_beta 90.00
_cell_angle_gamma 90.00
loop_
_atom_site_label
_atom_site_type_symbol
_atom_site_fract_x
_atom_site_fract_y
_atom_site_fract_z
Ce1 Ce 0.0000 0.5000 0.2462
Ag1 Ag 0.5000 0.5000 0.0000
Sn1 Sn 0.0000 0.0000 0.5000
Sn2 Sn 0.0000 0.5000 0.8641
Sn3 Sn 0.5000 0.5000 0.5000
Pd1 Pd 0.0000 0.0000 0.0000
Pd2 Pd 0.0000 0.5000 0.6275
```

Summary:
formation energy from the elements	-0.617	eV/atom

VASP calculation (GGA-PBE) on an optimized crystal structure of SmAl4PtRh2.

CIF file:
```
data_SmAl4PtRh2
_space_group_name_H-M_alt 'R -3 m'
_space_group_IT_number 166
_space_group_name_Hall '-R 3 2"'
_cell_length_a 4.2366
_cell_length_b 4.2366
_cell_length_c 26.6429
_cell_angle_alpha 90.00
_cell_angle_beta 90.00
_cell_angle_gamma 120.00
loop_
_atom_site_label
_atom_site_type_symbol
_atom_site_fract_x
_atom_site_fract_y
_atom_site_fract_z
Sm1 Sm 0.0000 0.0000 0.0000
Al1 Al 0.0000 0.0000 0.1304
Al2 Al 0.0000 0.0000 0.4037
Pt1 Pt 0.0000 0.0000 0.5000
Rh1 Rh 0.0000 0.0000 0.2312
```

Summary:
formation energy from the elements	-0.866	eV/atom

VASP calculation (GGA-PBE) on an optimized crystal structure of Pr2PF.

CIF file:
```
data_Pr2PF
_space_group_name_H-M_alt 'R -3 m'
_space_group_IT_number 166
_space_group_name_Hall '-R 3 2"'
_cell_length_a 4.0478
_cell_length_b 4.0478
_cell_length_c 18.8633
_cell_angle_alpha 90.00
_cell_angle_beta 90.00
_cell_angle_gamma 120.00
loop_
_atom_site_label
_atom_site_type_symbol
_atom_site_fract_x
_atom_site_fract_y
_atom_site_fract_z
Pr1 Pr 0.0000 0.0000 0.2489
P1 P 0.0000 0.0000 0.0000
F1 F 0.0000 0.0000 0.5000
```

Summary:
E_form (uncorrected)	-192	kJ/mol of atoms
relative energy among the computed polymorphs	0	meV/atom

VASP calculation (GGA-PBE) on an optimized crystal structure of NdYCu2S4.

CIF file:
```
data_NdYCu2S4
_space_group_name_H-M_alt 'I 2 2 2'
_space_group_IT_number 23
_space_group_name_Hall 'I 2 2'
_cell_length_a 6.5294
_cell_length_b 6.6799
_cell_length_c 7.6238
_cell_angle_alpha 90.00
_cell_angle_beta 90.00
_cell_angle_gamma 90.00
loop_
_atom_site_label
_atom_site_type_symbol
_atom_site_fract_x
_atom_site_fract_y
_atom_site_fract_z
Nd1 Nd 0.0000 0.0000 0.0000
Y1 Y 0.0000 0.0000 0.5000
Cu1 Cu 0.0000 0.5000 0.1700
S1 S 0.2493 0.2242 0.3022
```

Summary:
E_form (uncorrected)	-116	kJ/mol of atoms

VASP calculation (GGA-PBE) on an optimized crystal structure of Ir4Os2Rh5.

CIF file:
```
data_Ir4Os2Rh5
_space_group_name_H-M_alt 'P 1 2/m 1'
_space_group_IT_number 10
_space_group_name_Hall '-P 2y'
_cell_length_a 6.8040
_cell_length_b 2.7241
_cell_length_c 8.8063
_cell_angle_alpha 90.00
_cell_angle_beta 94.49
_cell_angle_gamma 90.00
loop_
_atom_site_label
_atom_site_type_symbol
_atom_site_fract_x
_atom_site_fract_y
_atom_site_fract_z
Ir1 Ir 0.1851 0.0000 0.3861
Ir2 Ir 0.2672 0.0000 0.9330
Os1 Os 0.0679 0.5000 0.1378
Rh1 Rh 0.1753 0.5000 0.6537
Rh2 Rh 0.4429 0.5000 0.1959
Rh3 Rh 0.5000 0.5000 0.5000
```

Summary:
formation energy from the elements	0.154	eV/atom
relative energy among the computed polymorphs	147	meV/atom

VASP calculation (GGA-PBE) on an optimized crystal structure of Ac4TlAuN.

CIF file:
```
data_Ac4TlAuN
_space_group_name_H-M_alt 'P 1 21/m 1'
_space_group_IT_number 11
_space_group_name_Hall '-P 2yb'
_cell_length_a 7.4454
_cell_length_b 7.6201
_cell_length_c 9.1102
_cell_angle_alpha 90.00
_cell_angle_beta 107.00
_cell_angle_gamma 90.00
loop_
_atom_site_label
_atom_site_type_symbol
_atom_site_fract_x
_atom_site_fract_y
_atom_site_fract_z
Ac1 Ac 0.0090 0.0084 0.2676
Ac2 Ac 0.4195 0.2500 0.1334
Ac3 Ac 0.4248 0.2500 0.5777
Tl1 Tl 0.2352 0.7500 0.0608
Au1 Au 0.2231 0.7500 0.5527
N1 N 0.2349 0.2500 0.3129
```

Summary:
E_form (uncorrected)	-63	kJ/mol of atoms

VASP calculation (GGA-PBE) on an optimized crystal structure of LaTiZn2.

CIF file:
```
data_LaTiZn2
_space_group_name_H-M_alt 'I -4 2 d'
_space_group_IT_number 122
_space_group_name_Hall 'I -4 2bw'
_cell_length_a 4.6074
_cell_length_b 4.6074
_cell_length_c 18.9627
_cell_angle_alpha 90.00
_cell_angle_beta 90.00
_cell_angle_gamma 90.00
loop_
_atom_site_label
_atom_site_type_symbol
_atom_site_fract_x
_atom_site_fract_y
_atom_site_fract_z
La1 La 0.0000 0.0000 0.0000
Ti1 Ti 0.0000 0.0000 0.5000
Zn1 Zn 0.0982 0.2500 0.6250
```

Summary:
formation energy from the elements	0.290	eV/atom
relative energy among the computed polymorphs	447	meV/atom

What did the fourth record say?
VASP calculation (GGA-PBE) on an optimized crystal structure of Pr2PF.

CIF file:
```
data_Pr2PF
_space_group_name_H-M_alt 'R -3 m'
_space_group_IT_number 166
_space_group_name_Hall '-R 3 2"'
_cell_length_a 4.0478
_cell_length_b 4.0478
_cell_length_c 18.8633
_cell_angle_alpha 90.00
_cell_angle_beta 90.00
_cell_angle_gamma 120.00
loop_
_atom_site_label
_atom_site_type_symbol
_atom_site_fract_x
_atom_site_fract_y
_atom_site_fract_z
Pr1 Pr 0.0000 0.0000 0.2489
P1 P 0.0000 0.0000 0.0000
F1 F 0.0000 0.0000 0.5000
```

Summary:
E_form (uncorrected)	-192	kJ/mol of atoms
relative energy among the computed polymorphs	0	meV/atom